No. 1
VASP calculation (GGA-PBE) on a geometry-optimized CaMg3U2N6 structure.

Cell lengths 3.431, 6.640, 7.217 Å; angles 100.30, 103.75, 90.00 degrees
Each line ends with the local moment (μB).
Sites, in units of the cell vectors:
Ca 0.500 0.000 0.000  0.01
Mg 0.500 0.500 0.000  0.00
Mg 0.835 0.166 0.669  0.00
Mg 0.165 0.834 0.331  0.00
U 0.838 0.674 0.675  1.05
U 0.162 0.326 0.325  1.05
N 0.328 0.899 0.655  -0.04
N 0.673 0.575 0.347  -0.05
N 0.672 0.101 0.345  -0.04
N 0.008 0.269 0.017  -0.03
N 0.992 0.731 0.983  -0.03
N 0.327 0.425 0.653  -0.05

Properties
crystal system	monoclinic
uncorrected formation energy	-1084	meV per atom
ρ	7.121	g/cm3

No. 2
VASP calculation (GGA-PBE) on a geometry-optimized Pm2InBi3 structure.

Cell lengths 3.450, 5.918, 10.136 Å; angles 106.97, 99.80, 90.00 degrees
Sites, in units of the cell vectors:
Pm 0.657 0.657 0.314
Pm 0.343 0.343 0.686
In 0.000 0.000 0.000
Bi 0.000 0.500 0.000
Bi 0.828 0.828 0.656
Bi 0.172 0.172 0.344

Properties
E_form	-0.380	eV per atom
crystal system	orthorhombic
ρ	8.797	g/cm3

No. 3
VASP calculation (GGA-PBE) on a geometry-optimized SiB3Mo structure.

Cell lengths 3.840, 3.840, 3.840 Å; angles 90.00, 90.00, 90.00 degrees
Sites, in units of the cell vectors:
Mo 0.500 0.500 0.500
B 0.000 0.500 0.000
B 0.000 0.000 0.500
B 0.500 0.000 0.000
Si 0.000 0.000 0.000

Properties
crystal system	cubic
uncorrected formation energy	1646	meV per atom
ρ	4.588	g/cm3

No. 4
VASP calculation (GGA-PBE) on a geometry-optimized KS structure.

Cell lengths 8.879, 8.879, 8.879 Å; angles 90.00, 90.00, 90.00 degrees
Each line ends with the local moment (μB).
Sites, in units of the cell vectors:
K 0.250 0.500 0.000  0.01
K 0.750 0.500 0.000  0.01
K 0.500 0.000 0.250  0.01
K 0.500 0.000 0.750  0.01
K 0.000 0.250 0.500  0.01
K 0.000 0.750 0.500  0.01
S 0.250 0.000 0.500  0.54
S 0.750 0.000 0.500  0.54
S 0.000 0.500 0.250  0.54
S 0.000 0.500 0.750  0.54
S 0.500 0.250 0.000  0.54
S 0.500 0.750 0.000  0.54

Properties
crystal system	cubic
uncorrected formation energy	-207	meV per atom
ρ	1.013	g/cm3

No. 5
VASP calculation (GGA-PBE) on a geometry-optimized OsAuI2 structure.

Cell lengths 4.994, 4.994, 4.994 Å; angles 60.00, 60.00, 60.00 degrees
Sites, in units of the cell vectors:
I 0.250 0.250 0.250
I 0.750 0.750 0.750
Os 0.000 0.000 0.000
Au 0.500 0.500 0.500

Properties
crystal system	cubic
uncorrected formation energy	1338	meV per atom
ρ	12.087	g/cm3

One value per record, in order, for energy: -7.69, -4.36, -5.61, -2.82, -3.06 eV/atom.